(1)
First-principles (PBE) data for a geometry-optimized CaSCl2 structure, as listed in Alexandria.

Geometry as CIF:
```
data_CaSCl2
_space_group_name_H-M_alt 'F m -3 m'
_space_group_IT_number 225
_space_group_name_Hall '-F 4 2 3'
_cell_length_a 7.130
_cell_length_b 7.130
_cell_length_c 7.130
_cell_angle_alpha 90.00
_cell_angle_beta 90.00
_cell_angle_gamma 90.00
loop_
_atom_site_label
_atom_site_type_symbol
_atom_site_fract_x
_atom_site_fract_y
_atom_site_fract_z
Ca1 Ca 0.000 0.000 0.000
S1 S 0.000 0.000 0.500
Cl1 Cl 0.250 0.250 0.250
```

Calculated values
energy relative to the lowest polymorph listed for this composition = 210 meV per atom
crystal system = cubic
total magnetic moment = 0.5000 μB per atom
formation energy from raw total energies = -0.89 eV/atom

=====

(2)
First-principles (PBE) data for a geometry-optimized Ca2SCl2 structure, as listed in Alexandria.

Geometry as CIF:
```
data_Ca2SCl2
_space_group_name_H-M_alt 'C 1 2/m 1'
_space_group_IT_number 12
_space_group_name_Hall '-C 2y'
_cell_length_a 7.079
_cell_length_b 4.088
_cell_length_c 9.723
_cell_angle_alpha 90.00
_cell_angle_beta 90.35
_cell_angle_gamma 90.00
loop_
_atom_site_label
_atom_site_type_symbol
_atom_site_fract_x
_atom_site_fract_y
_atom_site_fract_z
Ca1 Ca 0.168 0.000 0.169
S1 S 0.000 0.500 0.000
Cl1 Cl 0.164 0.000 0.685
```

Calculated values
crystal system = monoclinic
total magnetic moment = 0.0000 μB per atom
formation energy from raw total energies = -2.29 eV/atom

=====

(3)
First-principles (PBE) data for a geometry-optimized CaS5Cl structure, as listed in Alexandria.

Geometry as CIF:
```
data_CaS5Cl
_space_group_name_H-M_alt 'C 1 2 1'
_space_group_IT_number 5
_space_group_name_Hall 'C 2y'
_cell_length_a 4.652
_cell_length_b 21.985
_cell_length_c 4.502
_cell_angle_alpha 90.00
_cell_angle_beta 93.21
_cell_angle_gamma 90.00
loop_
_atom_site_label
_atom_site_type_symbol
_atom_site_fract_x
_atom_site_fract_y
_atom_site_fract_z
Ca1 Ca 0.000 0.000 0.000
S1 S 0.000 0.219 0.000
S2 S 0.004 0.562 0.279
S3 S 0.152 0.276 0.677
Cl1 Cl 0.000 0.934 0.500
```

Calculated values
crystal system = monoclinic
total magnetic moment = 0.0000 μB per atom
formation energy from raw total energies = -0.61 eV/atom